This record from Alexandria describes CePrHoIn after structural relaxation. The functional is GGA-PBE.

abc: 5.469 5.469 5.469
angles: 60.00 60.00 60.00
Element x y z (fractional)
Ce (0.000, 0.000, 0.000)
Pr (0.750, 0.750, 0.750)
Ho (0.250, 0.250, 0.250)
In (0.500, 0.500, 0.500)

SG	F-43m, No. 216
calculated density	8.05	g/cm3
total energy	-0.16845	hartree per atom
energy relative to the elements	-0.08	eV per atom